First-principles (PBE+U) data for crystalline Na4Sm3MoO8 at its relaxed geometry, as listed in the Alexandria database.

D(E_F) (states/eV/atom): 0.000
Total magnetic moment (Bohr magnetons per cell): 3.00
Crystal system: trigonal
Electronic total energy (eV/cell): -104.7
Space-group type: R-3m

```
Na4Sm3MoO8
1.0
-0.0712 3.9635 5.6539
4.2663 -4.3927 3.1332
1.7082 2.7296 -6.1088
O Na Sm Mo
8 4 3 1
Cartesian
3.8219 -0.9558 0.7182
4.7097 0.4626 -2.4561
3.8192 1.0851 3.5041
1.1935 1.8378 5.1344
2.0813 3.2562 1.9602
2.0840 1.2154 -0.8258
1.2305 -0.2217 2.1965
4.6727 2.5221 0.4818
0.8541 1.3648 -3.0544
-0.0356 1.9818 2.8269
0.8185 3.3466 -0.2275
0.0000 0.0000 0.0000
2.9516 1.1502 1.3392
2.0975 -0.2146 4.3935
2.9872 -0.8315 -1.4878
2.1331 -2.1964 1.5666
```